DyHo4Sc6 (PBE, relaxed); theoretical density = 5.77 g/cm³; space-group type = I-42m, No. 121; E = -0.38515 Ry per atom; formation energy from the elements = 0.2964 eV/atom
1.0
-3.154 3.154 7.902
3.154 -3.154 7.902
3.154 3.154 -7.902
Dy Ho Sc
1 4 6
Cartesian
0.000 0.000 0.000
1.204 1.204 -2.835
1.950 -1.950 10.737
1.950 1.950 5.067
-1.950 1.950 10.737
3.154 0.000 0.000
1.088 -1.088 6.068
2.066 2.066 1.834
0.000 3.154 0.000
-1.088 1.088 6.068
1.088 1.088 9.736